{
  "formula": "Zr6Cd2Co",
  "functional": "PBE-GGA",
  "state": "optimized geometry",
  "cell": [[8.2177, 0.0000, 0.0000], [-4.1089, 7.1168, 0.0000], [0.0000, 0.0000, 3.2811]],
  "species": ["Zr", "Zr", "Zr", "Zr", "Zr", "Zr", "Cd", "Cd", "Co"],
  "fractional_positions": [[0.0000, 0.2427, 0.0000], [0.0000, 0.6150, 0.5000], [0.2427, 0.0000, 0.0000], [0.3850, 0.3850, 0.5000], [0.6150, 0.0000, 0.5000], [0.7573, 0.7573, 0.0000], [0.3333, 0.6667, 0.0000], [0.6667, 0.3333, 0.0000], [0.0000, 0.0000, 0.5000]],
  "formation_enthalpy_0k_ev_per_atom": -0.1245,
  "spacegroup": "P-62m, No. 189",
  "rho_g_cm3": 7.19,
  "energy_ev_per_atom": -6.816
}

---

{
  "formula": "Zr4CdCo",
  "functional": "PBE-GGA",
  "state": "optimized geometry",
  "cell": [[6.7499, 0.0000, 0.0000], [0.0000, 6.7499, 0.0000], [0.0000, 0.0000, 5.4755]],
  "species": ["Zr", "Zr", "Zr", "Zr", "Zr", "Zr", "Zr", "Zr", "Cd", "Cd", "Co", "Co"],
  "fractional_positions": [[0.1368, 0.3178, 0.0000], [0.1368, 0.6822, 0.5000], [0.3178, 0.1368, 0.5000], [0.3178, 0.8632, 0.0000], [0.6822, 0.1368, 0.0000], [0.6822, 0.8632, 0.5000], [0.8632, 0.3178, 0.5000], [0.8632, 0.6822, 0.0000], [0.5000, 0.5000, 0.2500], [0.5000, 0.5000, 0.7500], [0.0000, 0.0000, 0.2500], [0.0000, 0.0000, 0.7500]],
  "formation_enthalpy_0k_ev_per_atom": -0.1059,
  "spacegroup": "P4/mcc, No. 124",
  "rho_g_cm3": 7.14,
  "energy_ev_per_atom": -7.141
}

---

{
  "formula": "Cr3Cd",
  "functional": "PBE-GGA",
  "state": "optimized geometry",
  "cell": [[5.2817, 0.0000, 0.0000], [0.0000, 5.2817, 0.0000], [0.0000, 0.0000, 5.2817]],
  "species": ["Cr", "Cr", "Cr", "Cd"],
  "fractional_positions": [[0.0000, 0.0000, 0.5000], [0.0000, 0.5000, 0.0000], [0.5000, 0.0000, 0.0000], [0.0000, 0.0000, 0.0000]],
  "formation_enthalpy_0k_ev_per_atom": 2.0512,
  "spacegroup": "Pm-3m, No. 221",
  "rho_g_cm3": 3.02,
  "energy_ev_per_atom": -5.395
}

---

{
  "formula": "Cr5Cd",
  "functional": "PBE-GGA",
  "state": "optimized geometry",
  "cell": [[4.9347, 0.0000, 0.0000], [-2.4673, 4.2735, 0.0000], [0.0000, 0.0000, 3.9256]],
  "species": ["Cr", "Cr", "Cr", "Cr", "Cr", "Cd"],
  "fractional_positions": [[0.0000, 0.5000, 0.0000], [0.3333, 0.6667, 0.5000], [0.5000, 0.0000, 0.0000], [0.5000, 0.5000, 0.0000], [0.6667, 0.3333, 0.5000], [0.0000, 0.0000, 0.5000]],
  "formation_enthalpy_0k_ev_per_atom": 0.5009,
  "spacegroup": "P6/mmm, No. 191",
  "rho_g_cm3": 7.47,
  "energy_ev_per_atom": -7.671
}

---

{
  "formula": "Cr3Cd",
  "functional": "PBE-GGA",
  "state": "optimized geometry",
  "cell": [[2.7680, 0.0000, 0.0000], [0.0000, 3.7438, 0.0000], [-0.6399, 0.0000, 5.5795]],
  "species": ["Cr", "Cr", "Cr", "Cd"],
  "fractional_positions": [[0.0000, 0.0000, 0.0000], [0.4258, 0.5000, 0.1785], [0.5742, 0.5000, 0.8215], [0.0000, 0.0000, 0.5000]],
  "formation_enthalpy_0k_ev_per_atom": 0.4330,
  "spacegroup": "P2/m, No. 10",
  "rho_g_cm3": 7.71,
  "energy_ev_per_atom": -7.013
}

---

{
  "formula": "Cr5Cd",
  "functional": "PBE-GGA",
  "state": "optimized geometry",
  "cell": [[1.4711, -6.1735, 0.0000], [1.4711, 6.1735, 0.0000], [0.0000, 0.0000, 4.3288]],
  "species": ["Cr", "Cr", "Cr", "Cr", "Cr", "Cd"],
  "fractional_positions": [[0.0000, 0.0000, 0.0000], [0.1830, 0.8170, 0.5000], [0.3338, 0.6662, 0.0000], [0.6662, 0.3338, 0.0000], [0.8170, 0.1830, 0.5000], [0.5000, 0.5000, 0.5000]],
  "formation_enthalpy_0k_ev_per_atom": 0.4060,
  "spacegroup": "Cmmm, No. 65",
  "rho_g_cm3": 7.86,
  "energy_ev_per_atom": -7.766
}